(1)
{"formula": "USnPtRh", "functional": "PBE", "state": "optimized geometry", "lattice_angstrom": [[6.7810, 0.0000, 0.0000], [0.0000, 6.7810, 0.0000], [0.0000, 0.0000, 6.7810]], "species": ["U", "U", "U", "U", "Sn", "Sn", "Sn", "Sn", "Pt", "Pt", "Pt", "Pt", "Rh", "Rh", "Rh", "Rh"], "frac_coords": [[0.0000, 0.0000, 0.0000], [0.0000, 0.5000, 0.5000], [0.5000, 0.0000, 0.5000], [0.5000, 0.5000, 0.0000], [0.0000, 0.0000, 0.5000], [0.0000, 0.5000, 0.0000], [0.5000, 0.0000, 0.0000], [0.5000, 0.5000, 0.5000], [0.2500, 0.2500, 0.7500], [0.2500, 0.7500, 0.2500], [0.7500, 0.2500, 0.2500], [0.7500, 0.7500, 0.7500], [0.2500, 0.2500, 0.2500], [0.2500, 0.7500, 0.7500], [0.7500, 0.2500, 0.7500], [0.7500, 0.7500, 0.2500]], "dft_energy_ev_per_atom": -7.67, "n_ef_per_ev_cell": 19.44, "spacegroup": "F-43m", "formation_energy_mev_per_atom": -503.1}

=====

(2)
{"formula": "Zn2InSb", "functional": "PBE", "state": "optimized geometry", "lattice_angstrom": [[4.1609, 0.0000, 0.0000], [0.0000, 5.3567, 0.0000], [0.0000, 0.0000, 8.0566]], "species": ["Zn", "Zn", "Zn", "Zn", "In", "In", "Sb", "Sb"], "frac_coords": [[0.0000, 0.0000, 0.2489], [0.0000, 0.0000, 0.7511], [0.5000, 0.5000, 0.2511], [0.5000, 0.5000, 0.7489], [0.0000, 0.5000, 0.0000], [0.5000, 0.0000, 0.5000], [0.0000, 0.5000, 0.5000], [0.5000, 0.0000, 0.0000]], "de_polymorph_ev_per_atom": 0.057, "raw_formation_energy_ev_per_atom": 0.149, "dft_energy_ev_per_atom": -2.20, "n_ef_per_ev_cell": 3.88, "spacegroup": "Immm"}

=====

Across the entries above, calculated volume takes the values 311.8, 179.6 Å³ per cell, respectively.